A relaxed structure of LaPb, computed with PBE.

Results
SG   Pnma (62)
M_tot   0.0 μB per cell
Formation energy   -116 kJ/mol of formula units

a b c (Å): 4.5850 6.5484 8.9959
angles (deg): 90.00 90.00 90.00
Element x y z (fractional)
Pb1 0.7500 0.3395 0.0400
Pb2 0.2500 0.8395 0.4600
Pb3 0.7500 0.1605 0.5400
Pb4 0.2500 0.6605 0.9600
La1 0.2500 0.3755 0.3141
La2 0.7500 0.6245 0.6859
La3 0.2500 0.1245 0.8141
La4 0.7500 0.8755 0.1859